This record from Alexandria describes an optimized crystal structure of LaAgB2. The functional is PBE.

Lattice parameters (Å, degrees): 4.3313 4.3313 15.0843 90.00 90.00 90.00
Last column: nearest neighbours and their distance in Å.
Space group I4_1/amd (No. 141, origin choice 2)
Inequivalent atoms, fractional coordinates:
La  0.0000  0.2500  0.3750  4 Ag 3.06, 8 B 3.07
Ag  0.0000  0.2500  0.8750  4 B 2.17
B  0.0000  0.0000  0.0000  2 B 2.17, 2 Ag 2.17

Calculated values
Energy relative to the elements in eV/atom: 0.456
Density of states at the Fermi level in states/eV/f.u.: 1.68
Total moment in μB/f.u.: 0.0
Energy above the most stable polymorph in this dataset in meV/atom: 0


This record from Alexandria describes an optimized crystal structure of LaAgB3. The functional is PBE.

Lattice parameters (Å, degrees): 4.7920 4.7920 4.7920 90.00 90.00 90.00
Last column: nearest neighbours and their distance in Å.
Space group Pm-3m (No. 221)
Inequivalent atoms, fractional coordinates:
La  0.0000  0.0000  0.0000  6 B 2.40
Ag  0.5000  0.5000  0.5000  12 B 3.39
B  0.0000  0.0000  0.5000  2 La 2.40

Calculated values
Energy relative to the elements in eV/atom: 2.370
Density of states at the Fermi level in states/eV/f.u.: 3.40
Total moment in μB/f.u.: 0.0
Energy above the most stable polymorph in this dataset in meV/atom: 1165